GaCo3Ge after structural relaxation, computed with PBE.

As for the density of states at the Fermi level: 1.015 states/eV per atom. The value obtained for the calculated formation energy is -27 meV per atom. As for the crystal system: orthorhombic. As for the energy above the lowest structure with this stoichiometry: 0.000 eV/atom.

It has space group Cmcm (No. 63), with a = 9.152 Å, b = 7.536 Å, c = 7.430 Å, α = 90.00°, β = 90.00° and γ = 90.00°. Symmetry generates all atoms from Ga at (0.000, 0.025, 0.250), Ga at (0.000, 0.355, 0.750), Co at (0.130, 0.165, 0.514), Co at (0.133, 0.500, 0.000) and Ge at (0.196, 0.320, 0.250).



La4IrS3 after structural relaxation, computed with PBE.

As for the formation energy without anion corrections: -1774 meV/atom. As for the density of states at the Fermi level: 0.794 states/eV per atom. As for the crystal system: orthorhombic.

It has space group Cmmm (No. 65), with a = 8.471 Å, b = 11.917 Å, c = 4.144 Å, α = 90.00°, β = 90.00° and γ = 90.00°. Symmetry generates all atoms from La at (0.000, 0.248, 0.000), La at (0.240, 0.000, 0.500), Ir at (0.000, 0.000, 0.000), S at (0.000, 0.500, 0.000) and S at (0.250, 0.250, 0.500).



RbAgMo after structural relaxation, computed with PBE.

As for the density of states at the Fermi level: 0.850 states/eV per atom. The value obtained for the calculated formation energy is 941 meV per atom. As for the crystal system: orthorhombic. As for the energy above the lowest structure with this stoichiometry: 0.211 eV/atom.

It has space group Pnma (No. 62), with a = 12.958 Å, b = 5.245 Å, c = 5.127 Å, α = 90.00°, β = 90.00° and γ = 90.00°. Symmetry generates all atoms from Rb at (0.250, 0.250, 0.029), Ag at (0.000, 0.000, 0.000) and Mo at (0.014, 0.250, 0.502).



Tm3B2Rh9Pb after structural relaxation, computed with PBE.

As for the density of states at the Fermi level: 1.010 states/eV per atom. The value obtained for the calculated formation energy is -555 meV per atom. As for the crystal system: trigonal.

It has space group P-3m1 (No. 164), with a = 5.8102 Å, b = 5.8102 Å, c = 9.2114 Å, α = 90.00°, β = 90.00° and γ = 120.00°. Symmetry generates all atoms from Tm at (0.0000, 0.0000, 0.0000), Tm at (0.3333, 0.6667, 0.7302), B at (0.3333, 0.6667, 0.1435), Rh at (0.0000, 0.5000, 0.0000), Rh at (0.1593, 0.3185, 0.2560) and Pb at (0.0000, 0.0000, 0.5000).



| no. | total magnetization (μB/f.u.) | DFT total energy (Ry per atom) | calculated density (Mg/m³) |
| --- | --- | --- | --- |
| 1 | 0.168 | -0.428 | 8.273 |
| 2 | 0.000 | -0.507 | 6.701 |
| 3 | 1.993 | -0.290 | 5.514 |
| 4 | 0.000 | -0.514 | 10.247 |